Entry from the Alexandria database: an optimized crystal structure of SiRuPtSe2 (GGA-PBE).

a = 4.6930 Å, b = 4.6930 Å, c = 4.4836 Å
α = 90.00°, β = 90.00°, γ = 90.00°
Last column: nearest neighbours and their distance in Å.
Atoms (fractional coordinates):
Si: 0.0000 0.0000 0.0000  2 Ru 2.24, 4 Se 2.35
Ru: 0.0000 0.0000 0.5000  2 Si 2.24
Pt: 0.5000 0.5000 0.5000  8 Se 3.25, 4 Ru 3.32
Se: 0.0000 0.5000 0.0000  2 Si 2.35
Se: 0.5000 0.0000 0.0000  2 Si 2.35

Calculated values
Space group: No. 123
Total moment (Bohr magnetons per cell): 1.24

***

Entry from the Alexandria database: an optimized crystal structure of MgSiAg (GGA-PBE).

a = 4.8138 Å, b = 4.8138 Å, c = 4.8138 Å
α = 139.63°, β = 131.15°, γ = 65.17°
Last column: nearest neighbours and their distance in Å.
Atoms (fractional coordinates):
Mg: 0.0000 0.0000 0.0000  5 Si 2.71-2.92, 5 Ag 2.72-2.92
Si: 0.3344 0.3344 0.0000  5 Ag 2.68-2.93, 5 Mg 2.71-2.92
Ag: 0.6651 0.6651 0.0000  5 Si 2.68-2.93, 5 Mg 2.72-2.92

Calculated values
Space group: No. 44
Total moment (Bohr magnetons per cell): 0.00

***

Entry from the Alexandria database: an optimized crystal structure of BaAs (GGA-PBE).

a = 5.2601 Å, b = 5.2601 Å, c = 5.2601 Å
α = 60.00°, β = 60.00°, γ = 60.00°
Last column: nearest neighbours and their distance in Å.
Atoms (fractional coordinates):
Ba: 0.0000 0.0000 0.0000  4 As 3.22
As: 0.7500 0.7500 0.7500  4 Ba 3.22

Calculated values
Space group: No. 216
Formation energy (eV per atom): -0.400
Total moment (Bohr magnetons per cell): 1.02

***

Entry from the Alexandria database: an optimized crystal structure of TaRuCl (GGA-PBE).

a = 4.7235 Å, b = 4.7235 Å, c = 4.7235 Å
α = 142.91°, β = 130.06°, γ = 63.82°
Last column: nearest neighbours and their distance in Å.
Atoms (fractional coordinates):
Ta: 0.0000 0.0000 0.0000  5 Cl 2.60-2.87, 5 Ru 2.73-2.80
Ru: 0.3410 0.3410 0.0000  5 Cl 2.69-2.82, 5 Ta 2.73-2.80, 2 Ru 3.00
Cl: 0.6763 0.6763 0.0000  5 Ta 2.60-2.87, 5 Ru 2.69-2.82

Calculated values
Space group: No. 44
Total moment (Bohr magnetons per cell): 0.00
Energy relative to the lowest polymorph listed for this composition (eV per formula unit): 2.74

***

Entry from the Alexandria database: an optimized crystal structure of UGeTe2 (GGA-PBE).

a = 12.0453 Å, b = 12.0453 Å, c = 12.0453 Å
α = 15.17°, β = 15.17°, γ = 15.17°
Last column: nearest neighbours and their distance in Å.
Atoms (fractional coordinates):
U: 0.0000 0.0000 0.0000  2 Te 3.13, 6 U 3.18
Ge: 0.5000 0.5000 0.5000  6 Ge 3.18, 6 Te 3.37
Te: 0.0877 0.0877 0.0877  1 U 3.13, 6 Te 3.18, 3 Ge 3.37
Te: 0.9123 0.9123 0.9123  1 U 3.13, 6 Te 3.18, 3 Ge 3.37

Calculated values
Space group: No. 166
Total moment (Bohr magnetons per cell): 2.76

***

Entry from the Alexandria database: an optimized crystal structure of RbNi3P2 (GGA-PBE).

a = 7.3733 Å, b = 7.3733 Å, c = 8.6843 Å
α = 111.32°, β = 111.32°, γ = 28.97°
Last column: nearest neighbours and their distance in Å.
Atoms (fractional coordinates):
Rb: 0.1455 0.1455 0.0563  6 P 3.37-3.45, 2 Rb 3.69, 3 Ni 3.69-3.73
Rb: 0.8545 0.8545 0.9437  6 P 3.37-3.45, 2 Rb 3.69, 3 Ni 3.69-3.73
Ni: 0.0474 0.0474 0.3941  3 P 2.18-2.21
Ni: 0.3156 0.3156 0.5514  4 P 2.24-2.42, 1 Ni 2.47
Ni: 0.4138 0.4138 0.3703  3 P 2.20-2.30
Ni: 0.5862 0.5862 0.6297  3 P 2.20-2.30
Ni: 0.6844 0.6844 0.4486  4 P 2.24-2.42, 1 Ni 2.47
Ni: 0.9526 0.9526 0.6059  3 P 2.18-2.21
P: 0.1820 0.1820 0.6275  6 Ni 2.21-2.42
P: 0.4750 0.4750 0.7499  4 Ni 2.18-2.28
P: 0.5250 0.5250 0.2501  4 Ni 2.18-2.28
P: 0.8180 0.8180 0.3725  6 Ni 2.21-2.42

Calculated values
Space group: No. 12
Formation energy (eV per atom): -0.432
Total moment (Bohr magnetons per cell): 0.00

***

Entry from the Alexandria database: an optimized crystal structure of NaCdHPb2 (GGA-PBE).

a = 5.0076 Å, b = 5.0076 Å, c = 4.6002 Å
α = 90.00°, β = 90.00°, γ = 90.00°
Last column: nearest neighbours and their distance in Å.
Atoms (fractional coordinates):
Na: 0.0000 0.0000 0.0000  2 H 2.30
Cd: 0.5000 0.5000 0.0000  8 Pb 3.40, 4 Na 3.54
H: 0.0000 0.0000 0.5000  2 Na 2.30, 4 Pb 2.50
Pb: 0.0000 0.5000 0.5000  2 H 2.50
Pb: 0.5000 0.0000 0.5000  2 H 2.50

Calculated values
Space group: No. 123
Total moment (Bohr magnetons per cell): 0.00
Energy relative to the lowest polymorph listed for this composition (eV per formula unit): 0.00

***

Entry from the Alexandria database: an optimized crystal structure of La6Pm12Th (GGA-PBE).

a = 8.9518 Å, b = 8.9518 Å, c = 8.9518 Å
α = 98.29°, β = 98.29°, γ = 98.29°
Last column: nearest neighbours and their distance in Å.
Atoms (fractional coordinates):
La: 0.0936 0.3592 0.3592  4 Pm 3.49-3.62, 2 La 3.60, 1 Th 3.65
La: 0.3592 0.0936 0.3592  4 Pm 3.49-3.62, 2 La 3.60, 1 Th 3.65
La: 0.3592 0.3592 0.0936  4 Pm 3.49-3.62, 2 La 3.60, 1 Th 3.65
La: 0.6408 0.6408 0.9064  4 Pm 3.49-3.62, 2 La 3.60, 1 Th 3.65
La: 0.6408 0.9064 0.6408  4 Pm 3.49-3.62, 2 La 3.60, 1 Th 3.65
La: 0.9064 0.6408 0.6408  4 Pm 3.49-3.62, 2 La 3.60, 1 Th 3.65
Pm: 0.0874 0.0874 0.6698  5 Pm 3.27-3.63
Pm: 0.0874 0.6698 0.0874  5 Pm 3.27-3.63
Pm: 0.2392 0.5000 0.7608  4 La 3.49-3.62, 1 Th 3.53, 6 Pm 3.53-3.68
Pm: 0.2392 0.7608 0.5000  4 La 3.49-3.62, 6 Pm 3.53-3.68, 1 Th 3.53
Pm: 0.3302 0.9126 0.9126  5 Pm 3.27-3.63
Pm: 0.5000 0.2392 0.7608  4 La 3.49-3.62, 6 Pm 3.53-3.68, 1 Th 3.53
Pm: 0.5000 0.7608 0.2392  4 La 3.49-3.62, 6 Pm 3.53-3.68, 1 Th 3.53
Pm: 0.6698 0.0874 0.0874  5 Pm 3.27-3.63
Pm: 0.7608 0.2392 0.5000  4 La 3.49-3.62, 6 Pm 3.53-3.68, 1 Th 3.53
Pm: 0.7608 0.5000 0.2392  4 La 3.49-3.62, 1 Th 3.53, 6 Pm 3.53-3.68
Pm: 0.9126 0.3302 0.9126  5 Pm 3.27-3.63
Pm: 0.9126 0.9126 0.3302  5 Pm 3.27-3.63
Th: 0.5000 0.5000 0.5000  6 Pm 3.53, 6 La 3.65

Calculated values
Space group: No. 166
Formation energy (eV per atom): 0.113
Total moment (Bohr magnetons per cell): 0.00

***

Entry from the Alexandria database: an optimized crystal structure of Ac5Ru2Pt (GGA-PBE).

a = 7.4870 Å, b = 7.4870 Å, c = 14.6371 Å
α = 90.00°, β = 90.00°, γ = 133.62°
Last column: nearest neighbours and their distance in Å.
Atoms (fractional coordinates):
Ac: 0.0476 0.9524 0.6174  2 Ru 2.76-2.92, 1 Pt 3.04
Ac: 0.0476 0.9524 0.8826  2 Ru 2.76-2.92, 1 Pt 3.04
Ac: 0.2375 0.7625 0.2500  2 Pt 3.01, 2 Ru 3.06
Ac: 0.3314 0.6686 0.5618  3 Ru 2.97-3.14, 1 Pt 3.17
Ac: 0.3314 0.6686 0.9382  3 Ru 2.97-3.14, 1 Pt 3.17
Ac: 0.6686 0.3314 0.0618  3 Ru 2.97-3.14, 1 Pt 3.17
Ac: 0.6686 0.3314 0.4382  3 Ru 2.97-3.14, 1 Pt 3.17
Ac: 0.7625 0.2375 0.7500  2 Pt 3.01, 2 Ru 3.06
Ac: 0.9524 0.0476 0.1174  2 Ru 2.76-2.92, 1 Pt 3.04
Ac: 0.9524 0.0476 0.3826  2 Ru 2.76-2.92, 1 Pt 3.04
Ru: 0.1438 0.8562 0.0604  5 Ac 2.76-3.06
Ru: 0.1438 0.8562 0.4396  5 Ac 2.76-3.06
Ru: 0.8562 0.1438 0.5604  5 Ac 2.76-3.06
Ru: 0.8562 0.1438 0.9396  5 Ac 2.76-3.06
Pt: 0.2175 0.7825 0.7500  6 Ac 3.01-3.17
Pt: 0.7825 0.2175 0.2500  6 Ac 3.01-3.17

Calculated values
Space group: No. 63
Formation energy (eV per atom): -0.360
Total moment (Bohr magnetons per cell): 0.00

***

Entry from the Alexandria database: an optimized crystal structure of LiCdGaHg (GGA-PBE).

a = 4.8396 Å, b = 4.8396 Å, c = 4.8396 Å
α = 60.00°, β = 60.00°, γ = 60.00°
Last column: nearest neighbours and their distance in Å.
Atoms (fractional coordinates):
Li: 0.0000 0.0000 0.0000  4 Cd 2.96, 4 Hg 2.96
Cd: 0.2500 0.2500 0.2500  4 Ga 2.96, 4 Li 2.96
Ga: 0.5000 0.5000 0.5000  4 Hg 2.96, 4 Cd 2.96
Hg: 0.7500 0.7500 0.7500  4 Ga 2.96, 4 Li 2.96

Calculated values
Space group: No. 216
Formation energy (eV per atom): -0.144
Total moment (Bohr magnetons per cell): 0.00
Energy relative to the lowest polymorph listed for this composition (eV per formula unit): 0.05

***

Entry from the Alexandria database: an optimized crystal structure of Tl2NiRh (GGA-PBE).

a = 4.4345 Å, b = 4.4345 Å, c = 5.6911 Å
α = 102.42°, β = 102.42°, γ = 43.75°
Last column: nearest neighbours and their distance in Å.
Atoms (fractional coordinates):
Tl: 0.2466 0.2466 0.2421  3 Ni 2.73-2.75, 3 Rh 2.77-2.80
Tl: 0.7534 0.7534 0.7579  3 Ni 2.73-2.75, 3 Rh 2.77-2.80
Ni: 0.5000 0.5000 0.0000  6 Tl 2.73-2.75
Rh: 0.0000 0.0000 0.5000  6 Tl 2.77-2.80

Calculated values
Space group: No. 12
Formation energy (eV per atom): 0.290
Total moment (Bohr magnetons per cell): 0.00
Energy relative to the lowest polymorph listed for this composition (eV per formula unit): 0.35

***

Entry from the Alexandria database: an optimized crystal structure of BaLiHgSe2 (GGA-PBE).

a = 8.0365 Å, b = 4.8216 Å, c = 8.6688 Å
α = 90.00°, β = 112.91°, γ = 90.00°
Last column: nearest neighbours and their distance in Å.
Atoms (fractional coordinates):
Ba: 0.0000 0.1580 0.2500  6 Se 3.29-3.33
Ba: 0.0000 0.8420 0.7500  6 Se 3.29-3.33
Li: 0.5000 0.4991 0.2500  2 Se 2.50
Li: 0.5000 0.5009 0.7500  2 Se 2.50
Hg: 0.5000 0.0000 0.0000  2 Se 2.86
Hg: 0.5000 0.0000 0.5000  2 Se 2.86
Se: 0.2172 0.3455 0.0146  1 Li 2.50
Se: 0.2172 0.6545 0.5146  1 Li 2.50
Se: 0.7828 0.3455 0.4854  1 Li 2.50
Se: 0.7828 0.6545 0.9854  1 Li 2.50

Calculated values
Space group: No. 13
Total moment (Bohr magnetons per cell): 0.00

***

For the records above, the corresponding final energy values read -4.525 -3.207 -3.686 -7.277 -5.089 -5.287 -2.524 -4.834 -6.002 -1.683 -4.176 -3.240 eV/atom.